[1]
An optimized crystal structure of AlCr2PI. Source: Alexandria via LeMat-Bulk, functional GGA-PBE.

Geometry as POSCAR:
```
AlCr2PI
1.0
5.2332 0.0000 0.0000
0.0000 5.2332 0.0000
0.0000 0.0000 4.4244
Al Cr P I
1 2 1 1
direct
0.0000 0.0000 0.0000 Al
0.0000 0.5000 0.0000 Cr
0.5000 0.0000 0.0000 Cr
0.0000 0.0000 0.5000 P
0.5000 0.5000 0.5000 I
```

Summary:
The total energy comes out at -5.08 eV per atom. The calculation puts the formation energy (no corrections) at 0.911 eV/atom. The density of states at the Fermi level comes out at 5.0 states/eV/f.u.

***

[2]
An optimized crystal structure of AlCrSb2I. Source: Alexandria via LeMat-Bulk, functional GGA-PBE.

Geometry as POSCAR:
```
AlCrSb2I
1.0
5.0344 0.0000 0.0000
0.0000 5.0344 0.0000
0.0000 0.0000 5.9787
Al Cr Sb I
1 1 2 1
direct
0.0000 0.0000 0.0000 Al
0.5000 0.5000 0.5000 Cr
0.0000 0.5000 0.5000 Sb
0.5000 0.0000 0.5000 Sb
0.5000 0.5000 0.0000 I
```

Summary:
The total energy comes out at -4.15 eV per atom. The calculation puts the formation energy (no corrections) at 0.483 eV/atom. The energy relative to the lowest polymorph listed for this composition comes out at 0.000 eV/atom. The density of states at the Fermi level comes out at 2.0 states/eV/f.u.

***

[3]
An optimized crystal structure of AlCrSe2I. Source: Alexandria via LeMat-Bulk, functional GGA-PBE.

Geometry as POSCAR:
```
AlCrSe2I
1.0
4.7667 0.0000 0.0000
0.0000 4.7667 0.0000
0.0000 0.0000 6.0692
Al Cr Se I
1 1 2 1
direct
0.0000 0.0000 0.0000 Al
0.5000 0.5000 0.5000 Cr
0.0000 0.5000 0.0000 Se
0.5000 0.0000 0.0000 Se
0.0000 0.0000 0.5000 I
```

Summary:
The total energy comes out at -4.14 eV per atom. The calculation puts the formation energy (no corrections) at 0.240 eV/atom. The density of states at the Fermi level comes out at 3.2 states/eV/f.u.